Version P
The following is a GGA-PBE calculation of an optimized crystal structure of PrSiPO, from the Open Quantum Materials Database.

abc: 5.8655 5.8655 4.6795
angles: 90.00 90.00 90.00
Last column: nearest neighbours and their distance in Å.
Space group P4/nmm (No. 129, origin choice 2)
One atom of each set of equivalent atoms:
1 Pr 0.2500 0.7500 0.0000 [2 per cell]  2 O 2.34
2 Si 0.2500 0.2500 0.4939 [2 per cell]  2 P 2.34
3 P 0.2500 0.2500 0.9933 [2 per cell]  2 Si 2.34
4 O 0.2500 0.7500 0.5000 [2 per cell]  2 Pr 2.34

***

Version Q
The following is a GGA-PBE calculation of an optimized crystal structure of PrSiPO, from the Open Quantum Materials Database.

abc: 4.1348 4.7287 6.9641
angles: 90.00 90.00 90.00
Last column: nearest neighbours and their distance in Å.
Space group Pmc2_1 (No. 26)
One atom of each set of equivalent atoms:
1 Pr 0.0000 0.2126 0.0000 [2 per cell]  3 O 2.49-2.64
2 Si 0.5000 0.3035 0.3768 [2 per cell]  2 O 2.07
3 P 0.5000 0.1314 0.6975 [2 per cell]  2 Si 2.38-2.41
4 O 0.0000 0.3043 0.3562 [2 per cell]  2 Si 2.07

***

What should be chosen as the least stable of them? Choose version P.

***

Version P
The following is a GGA-PBE calculation of an optimized crystal structure of SrPrPO, from the Open Quantum Materials Database.

abc: 4.4551 4.4551 9.4020
angles: 90.00 90.00 90.00
Last column: nearest neighbours and their distance in Å.
Space group P4/nmm (No. 129, origin choice 2)
One atom of each set of equivalent atoms:
1 Sr 0.2500 0.7500 0.0000 [2 per cell]  4 P 2.94, 4 Sr 3.15
2 Pr 0.2500 0.2500 0.3980 [2 per cell]  4 O 2.43
3 P 0.2500 0.2500 0.7960 [2 per cell]  4 Sr 2.94
4 O 0.2500 0.7500 0.5000 [2 per cell]  4 Pr 2.43

***

Version Q
The following is a GGA-PBE calculation of an optimized crystal structure of SrPrPO, from the Open Quantum Materials Database.

abc: 4.0113 4.0113 5.6751
angles: 90.00 90.00 90.00
Last column: nearest neighbours and their distance in Å.
Space group P4/mmm (No. 123)
One atom of each set of equivalent atoms:
1 Sr 0.0000 0.0000 0.0000 [1 per cell]  4 O 2.84, 2 P 2.84
2 Pr 0.5000 0.5000 0.5000 [1 per cell]  4 P 2.84, 2 O 2.84
3 P 0.0000 0.0000 0.5000 [1 per cell]  4 Pr 2.84, 2 Sr 2.84
4 O 0.5000 0.5000 0.0000 [1 per cell]  4 Sr 2.84, 2 Pr 2.84

***

Version R
The following is a GGA-PBE calculation of an optimized crystal structure of SrPrPO, from the Open Quantum Materials Database.

abc: 4.2692 6.8765 6.9871
angles: 90.00 90.00 90.00
Last column: nearest neighbours and their distance in Å.
Space group Pmc2_1 (No. 26)
One atom of each set of equivalent atoms:
1 Sr 0.0000 0.1233 0.0000 [2 per cell]  2 O 2.41
2 Pr 0.5000 0.4596 0.6575 [2 per cell]  2 O 2.33-2.43
3 P 0.0000 0.3103 0.4015 [2 per cell]  4 Pr 2.97-3.16, 2 Sr 3.06-3.09
4 O 0.5000 0.2698 0.9333 [2 per cell]  2 Pr 2.33-2.43, 2 Sr 2.41

***

What should be chosen as the least stable of them? Choose version P.

***

Version P
The following is a GGA-PBE calculation of an optimized crystal structure of PrTaPO, from the Open Quantum Materials Database.

abc: 4.0050 4.0050 9.1434
angles: 90.00 90.00 90.00
Last column: nearest neighbours and their distance in Å.
Space group P4/nmm (No. 129, origin choice 2)
One atom of each set of equivalent atoms:
1 Pr 0.2500 0.2500 0.1340 [2 per cell]  4 O 2.35
2 Ta 0.2500 0.7500 0.5000 [2 per cell]  4 P 2.58, 4 Ta 2.83
3 P 0.2500 0.2500 0.6780 [2 per cell]  4 Ta 2.58
4 O 0.2500 0.7500 0.0000 [2 per cell]  4 Pr 2.35

***

Version Q
The following is a GGA-PBE calculation of an optimized crystal structure of PrTaPO, from the Open Quantum Materials Database.

abc: 4.1790 4.1790 7.8494
angles: 90.00 90.00 90.00
Last column: nearest neighbours and their distance in Å.
Space group P4/nmm (No. 129, origin choice 2)
One atom of each set of equivalent atoms:
1 Pr 0.2500 0.7500 0.0000 [2 per cell]  4 P 2.93, 4 Pr 2.96
2 Ta 0.2500 0.2500 0.4084 [2 per cell]  4 O 2.21
3 P 0.2500 0.2500 0.7392 [2 per cell]  1 Ta 2.60, 4 O 2.81
4 O 0.2500 0.7500 0.5000 [2 per cell]  4 Ta 2.21

***

What should be chosen as the least stable of them? Choose version Q.